Material: Pr2Sb2Au15
Method: DFT, PBE
State: relaxed

Results
crystal system	trigonal
theoretical density	14.4	g/cm³
E_form (uncorrected)	-260	meV/atom

Cell lengths 7.4123, 7.4123, 7.4123 Å; angles 83.63, 83.63, 83.63 degrees
With the nearest neighbours (Å) after each atom.
Fractional coordinates of all 19 atoms:
Pr  0.1470  0.1470  0.1470  12 Au 3.30-3.47, 1 Sb 3.50
Pr  0.8530  0.8530  0.8530  12 Au 3.30-3.47, 1 Sb 3.50
Sb  0.3935  0.3935  0.3935  6 Au 2.98-3.07, 1 Sb 3.02
Sb  0.6065  0.6065  0.6065  6 Au 2.98-3.07, 1 Sb 3.02
Au  0.0000  0.5000  0.5000  8 Au 2.88-2.90, 2 Sb 2.98
Au  0.1609  0.1609  0.6764  8 Au 2.76-2.90, 1 Sb 3.07
Au  0.1609  0.6764  0.1609  8 Au 2.76-2.90, 1 Sb 3.07
Au  0.1658  0.5000  0.8342  6 Au 2.87-2.89
Au  0.1658  0.8342  0.5000  6 Au 2.87-2.89
Au  0.3236  0.8391  0.8391  8 Au 2.76-2.90, 1 Sb 3.07
Au  0.5000  0.0000  0.5000  8 Au 2.88-2.90, 2 Sb 2.98
Au  0.5000  0.1658  0.8342  6 Au 2.87-2.89
Au  0.5000  0.5000  0.0000  8 Au 2.88-2.90, 2 Sb 2.98
Au  0.5000  0.8342  0.1658  6 Au 2.87-2.89
Au  0.6764  0.1609  0.1609  8 Au 2.76-2.90, 1 Sb 3.07
Au  0.8342  0.1658  0.5000  6 Au 2.87-2.89
Au  0.8342  0.5000  0.1658  6 Au 2.87-2.89
Au  0.8391  0.3236  0.8391  8 Au 2.76-2.90, 1 Sb 3.07
Au  0.8391  0.8391  0.3236  8 Au 2.76-2.90, 1 Sb 3.07